[1]
Density functional theory data (PBE) for a geometry-optimized Cs2AuCI6 structure.

Calculated values
Volume ... 35.994 Å³/atom
Crystal system ... tetragonal
Calculated total energy ... -2.49 eV per atom
Theoretical density ... 5.70 g cm⁻³
Energy relative to the elements, uncorrected ... -0.14 eV per atom

Cell: 7.969 7.969 7.969 Å, 119.60 119.60 90.70°
Sites, in units of the cell vectors:
Cs: 0.250 0.750 0.500
Cs: 0.750 0.250 0.500
Au: 0.000 0.000 0.000
C: 0.500 0.500 0.000
I: 0.260 0.260 0.000
I: 0.260 0.260 0.519
I: 0.260 0.740 0.000
I: 0.740 0.260 0.000
I: 0.740 0.740 0.000
I: 0.740 0.740 0.481


[2]
Density functional theory data (PBE) for a geometry-optimized Dy3Zn2Ge3 structure.

Calculated values
Volume ... 21.140 Å³/atom
Crystal system ... orthorhombic
Calculated total energy ... -4.39 eV per atom
Polymorph energy (0 for the lowest one) ... 0.29 eV per formula unit
Theoretical density ... 8.21 g cm⁻³

Cell: 5.802 5.802 14.842 Å, 90.00 90.00 137.40°
Sites, in units of the cell vectors:
Dy: 0.082 0.918 0.750
Dy: 0.371 0.629 0.602
Dy: 0.371 0.629 0.898
Dy: 0.629 0.371 0.102
Dy: 0.629 0.371 0.398
Dy: 0.918 0.082 0.250
Zn: 0.347 0.653 0.122
Zn: 0.347 0.653 0.378
Zn: 0.653 0.347 0.622
Zn: 0.653 0.347 0.878
Ge: 0.095 0.905 0.548
Ge: 0.095 0.905 0.952
Ge: 0.190 0.810 0.250
Ge: 0.810 0.190 0.750
Ge: 0.905 0.095 0.048
Ge: 0.905 0.095 0.452